No. 1
# PBE La3Ag3Au2, optimized geometry
# E above lowest polymorph in meV per atom: 12
# Energy of formation from the pure elements in eV per atom: -0.50
# Symmetry: Cmcm, No. 63
data_La3Ag3Au2
_chemical_formula_sum 'La6 Ag6 Au4'
_cell_length_a 4.332
_cell_length_b 5.846
_cell_length_c 17.585
_cell_angle_alpha 90.00
_cell_angle_beta 90.00
_cell_angle_gamma 111.75
_space_group_name_H-M_alt 'P 1'
_space_group_IT_number 1
_space_group_name_Hall 'P 1'
loop_
_atom_site_label
_atom_site_type_symbol
_atom_site_fract_x
_atom_site_fract_y
_atom_site_fract_z
La1 La 0.927 0.855 0.397
La2 La 0.073 0.145 0.897
La3 La 0.927 0.855 0.103
La4 La 0.073 0.145 0.603
La5 La 0.662 0.325 0.250
La6 La 0.338 0.675 0.750
Ag1 Ag 0.629 0.258 0.470
Ag2 Ag 0.371 0.742 0.970
Ag3 Ag 0.629 0.258 0.030
Ag4 Ag 0.371 0.742 0.530
Ag5 Ag 0.382 0.763 0.250
Ag6 Ag 0.618 0.237 0.750
Au1 Au 0.783 0.565 0.880
Au2 Au 0.217 0.435 0.380
Au3 Au 0.783 0.565 0.620
Au4 Au 0.217 0.435 0.120



No. 2
# PBE LaBiPb, optimized geometry
# E above lowest polymorph in meV per atom: 203
# Energy of formation from the pure elements in eV per atom: -0.42
# Symmetry: P3m1, No. 156
data_LaBiPb
_chemical_formula_sum 'La1 Bi1 Pb1'
_cell_length_a 3.814
_cell_length_b 5.469
_cell_length_c 5.469
_cell_angle_alpha 120.00
_cell_angle_beta 90.00
_cell_angle_gamma 90.00
_space_group_name_H-M_alt 'P 1'
_space_group_IT_number 1
_space_group_name_Hall 'P 1'
loop_
_atom_site_label
_atom_site_type_symbol
_atom_site_fract_x
_atom_site_fract_y
_atom_site_fract_z
Pb1 Pb 0.187 0.667 0.333
Bi1 Bi 0.146 0.000 0.000
La1 La 0.666 0.333 0.667



No. 3
# PBE Ac2H4RhPb2, optimized geometry
# DFT total energy in eV per atom: -4.17
# Symmetry: I4/mmm, No. 139
data_Ac2H4RhPb2
_chemical_formula_sum 'Ac2 H4 Rh1 Pb2'
_cell_length_a 6.262
_cell_length_b 6.262
_cell_length_c 6.262
_cell_angle_alpha 94.67
_cell_angle_beta 117.34
_cell_angle_gamma 117.34
_space_group_name_H-M_alt 'P 1'
_space_group_IT_number 1
_space_group_name_Hall 'P 1'
loop_
_atom_site_label
_atom_site_type_symbol
_atom_site_fract_x
_atom_site_fract_y
_atom_site_fract_z
Ac1 Ac 0.500 0.750 0.250
Ac2 Ac 0.500 0.250 0.750
H1 H 0.000 0.815 0.185
H2 H 0.630 0.815 0.815
H3 H 0.000 0.185 0.815
H4 H 0.370 0.185 0.185
Rh1 Rh 0.000 0.000 0.000
Pb1 Pb 0.000 0.671 0.671
Pb2 Pb 0.000 0.329 0.329



No. 4
# PBE Zn2Sn2Pb, optimized geometry
# E above lowest polymorph in meV per atom: 43
# Energy of formation from the pure elements in eV per atom: 0.14
# Symmetry: P4/mbm, No. 127
data_Zn2Sn2Pb
_chemical_formula_sum 'Zn4 Sn4 Pb2'
_cell_length_a 8.570
_cell_length_b 8.570
_cell_length_c 3.286
_cell_angle_alpha 90.00
_cell_angle_beta 90.00
_cell_angle_gamma 90.00
_space_group_name_H-M_alt 'P 1'
_space_group_IT_number 1
_space_group_name_Hall 'P 1'
loop_
_atom_site_label
_atom_site_type_symbol
_atom_site_fract_x
_atom_site_fract_y
_atom_site_fract_z
Pb1 Pb 0.000 0.000 0.000
Pb2 Pb 0.500 0.500 0.000
Zn1 Zn 0.154 0.654 0.500
Zn2 Zn 0.654 0.846 0.500
Zn3 Zn 0.846 0.346 0.500
Zn4 Zn 0.346 0.154 0.500
Sn1 Sn 0.358 0.858 0.000
Sn2 Sn 0.858 0.642 0.000
Sn3 Sn 0.642 0.142 0.000
Sn4 Sn 0.142 0.358 0.000



No. 5
# PBE Te2PtN2, optimized geometry
# E above lowest polymorph in meV per atom: 250
# Symmetry: P4/mmm, No. 123
data_Te2PtN2
_chemical_formula_sum 'Te2 Pt1 N2'
_cell_length_a 5.634
_cell_length_b 5.634
_cell_length_c 3.644
_cell_angle_alpha 90.00
_cell_angle_beta 90.00
_cell_angle_gamma 90.00
_space_group_name_H-M_alt 'P 1'
_space_group_IT_number 1
_space_group_name_Hall 'P 1'
loop_
_atom_site_label
_atom_site_type_symbol
_atom_site_fract_x
_atom_site_fract_y
_atom_site_fract_z
Te1 Te 0.000 0.500 0.000
Te2 Te 0.500 0.000 0.000
Pt1 Pt 0.000 0.000 0.000
N1 N 0.500 0.500 0.500
N2 N 0.000 0.000 0.500



No. 6
# PBE Cs2TeHAu, optimized geometry
# E above lowest polymorph in meV per atom: 0
# Symmetry: P4/mmm, No. 123
data_Cs2TeHAu
_chemical_formula_sum 'Cs2 Te1 H1 Au1'
_cell_length_a 6.782
_cell_length_b 6.782
_cell_length_c 3.712
_cell_angle_alpha 90.00
_cell_angle_beta 90.00
_cell_angle_gamma 90.00
_space_group_name_H-M_alt 'P 1'
_space_group_IT_number 1
_space_group_name_Hall 'P 1'
loop_
_atom_site_label
_atom_site_type_symbol
_atom_site_fract_x
_atom_site_fract_y
_atom_site_fract_z
Cs1 Cs 0.000 0.500 0.000
Cs2 Cs 0.500 0.000 0.000
H1 H 0.000 0.000 0.000
Te1 Te 0.500 0.500 0.500
Au1 Au 0.000 0.000 0.500